# Ca2Zn2Ru

Crystalline Ca2Zn2Ru at its relaxed geometry (GGA-PBE, Alexandria via LeMat-Bulk).

Cell and atoms, written as POSCAR:
```
Ca2Zn2Ru
1.0
-1.674 -3.961 0.422
5.119 -2.064 0.935
-2.254 3.711 3.776
Ca Zn Ru
2 2 1
direct
0.804 0.304 0.609
0.196 0.696 0.391
0.500 0.759 0.000
0.500 0.241 0.000
0.000 0.000 0.000
```

Calculated values
- energy (eV/atom) = -3.307
- offset from the most stable computed form (eV/atom) = 0.000
- crystal system = orthorhombic